Na3Pm2YTe6 PBE relaxed; raw formation energy = -1.3297 eV/atom
1.0
-1.229 2.501 7.262
-1.831 -7.300 -1.961
7.977 -0.668 0.189
Na Pm Y Te
3 2 1 6
Cartesian
2.259 -5.983 -0.313
2.658 0.516 5.802
2.458 -2.734 2.745
-1.630 -4.030 1.116
-1.430 -0.769 4.185
0.000 0.000 0.000
3.876 -2.539 5.672
-0.416 -3.763 4.026
1.041 -2.928 -0.182
3.678 -5.753 2.648
5.333 -1.705 1.464
1.239 0.286 2.842